VASP calculation (PBE) on a geometry-optimized HfTi3N structure.

## Properties
**Energy relative to the elements, uncorrected**: -0.695 eV/atom
**Fermi-level density of states**: 0.914 states/eV per atom
**DFT total energy**: -0.6679 Ry/atom

Cell: 4.2361 4.2361 4.2361 Å, 90.00 90.00 90.00°
Fractional positions:
N 0.0000 0.0000 0.0000
Hf 0.5000 0.5000 0.5000
Ti 0.0000 0.5000 0.0000
Ti 0.0000 0.0000 0.5000
Ti 0.5000 0.0000 0.0000